Below is a geometry-optimized Mg2AsIr structure, with properties calculated at the PBE-GGA level.

Results
Symmetry ... I-4m2

abc: 4.9523 4.9523 4.9523
angles: 131.69 131.69 70.71
Fractional positions:
As: 0.5000 0.5000 0.0000
Ir: 0.7500 0.2500 0.5000
Mg: 0.0000 0.0000 0.0000
Mg: 0.2500 0.7500 0.5000

=====

Below is a geometry-optimized Mg2AsIr structure, with properties calculated at the PBE-GGA level.

Results
Symmetry ... I-42d

abc: 7.3972 7.3972 5.8808
angles: 51.03 51.03 90.00
Fractional positions:
As: 0.5000 0.5000 0.0000
As: 0.2500 0.7500 0.5000
Ir: 0.0000 0.0000 0.0000
Ir: 0.7500 0.2500 0.5000
Mg: 0.6317 0.1250 0.2500
Mg: 0.1183 0.6250 0.2500
Mg: 0.3750 0.3683 0.7500
Mg: 0.8750 0.8817 0.7500

=====

Results for E: -4.423, -4.073 (in eV per atom, following the order of the records).